Compound: Zr3Cr4
Source: Alexandria
Functional: GGA-PBE
Structure: optimized geometry

Computed properties:
Calculated volume ... 128 Å³ per cell
Total moment ... 2.87 μB/f.u.
Space-group type ... P6/mmm (191)
Uncorrected energy ... -58.83 eV per cell
Crystal system ... hexagonal

Cell lengths 5.823, 5.823, 4.359 Å; angles 90.00, 90.00, 120.00 degrees
Last column: magnetic moment on the atom in μB.
Sites, in units of the cell vectors:
Zr (0.500, 0.500, 0.000)  -0.22
Zr (0.000, 0.500, 0.000)  -0.22
Zr (0.500, 0.000, 0.000)  -0.22
Cr (0.000, 0.000, 0.780)  -0.16
Cr (0.000, 0.000, 0.220)  -0.16
Cr (0.333, 0.667, 0.500)  1.94
Cr (0.667, 0.333, 0.500)  1.94